Model one:
# PBE Nb2AlCo, relaxed
data_Nb2AlCo
_symmetry_space_group_name_H-M 'P 1'
_symmetry_Int_Tables_number 1
_cell_length_a 7.1257
_cell_length_b 7.1257
_cell_length_c 5.6865
_cell_angle_alpha 51.20
_cell_angle_beta 51.20
_cell_angle_gamma 90.00
loop_
_symmetry_equiv_pos_as_xyz
'x,y,z'
loop_
_atom_site_label
_atom_site_type_symbol
_atom_site_fract_x
_atom_site_fract_y
_atom_site_fract_z
_atom_site_occupancy
Co1 Co 0.0000 0.0000 0.0000 1
Co2 Co 0.7500 0.2500 0.5000 1
Nb1 Nb 0.6664 0.1250 0.2500 1
Nb2 Nb 0.0836 0.6250 0.2500 1
Nb3 Nb 0.3750 0.3336 0.7500 1
Nb4 Nb 0.8750 0.9164 0.7500 1
Al1 Al 0.5000 0.5000 0.0000 1
Al2 Al 0.2500 0.7500 0.5000 1
# D(E_F) ... 3.81 states/eV/f.u.

Model two:
# PBE Nb2AlCo, relaxed
data_Nb2AlCo
_symmetry_space_group_name_H-M 'P 1'
_symmetry_Int_Tables_number 1
_cell_length_a 4.4613
_cell_length_b 4.4613
_cell_length_c 4.4613
_cell_angle_alpha 60.00
_cell_angle_beta 60.00
_cell_angle_gamma 60.00
loop_
_symmetry_equiv_pos_as_xyz
'x,y,z'
loop_
_atom_site_label
_atom_site_type_symbol
_atom_site_fract_x
_atom_site_fract_y
_atom_site_fract_z
_atom_site_occupancy
Nb1 Nb 0.2500 0.2500 0.2500 1
Nb2 Nb 0.7500 0.7500 0.7500 1
Al1 Al 0.0000 0.0000 0.0000 1
Co1 Co 0.5000 0.5000 0.5000 1
# D(E_F) ... 7.99 states/eV/f.u.

Question: which arrangement is favored energetically? Ranking from most to least stable: model two, model one.

Model one:
# PBE Nb2AlCo, relaxed
data_Nb2AlCo
_symmetry_space_group_name_H-M 'P 1'
_symmetry_Int_Tables_number 1
_cell_length_a 4.0016
_cell_length_b 3.9446
_cell_length_c 3.9446
_cell_angle_alpha 90.00
_cell_angle_beta 90.00
_cell_angle_gamma 90.00
loop_
_symmetry_equiv_pos_as_xyz
'x,y,z'
loop_
_atom_site_label
_atom_site_type_symbol
_atom_site_fract_x
_atom_site_fract_y
_atom_site_fract_z
_atom_site_occupancy
Nb1 Nb 0.0000 0.0000 0.5000 1
Nb2 Nb 0.0000 0.5000 0.0000 1
Al1 Al 0.5000 0.0000 0.0000 1
Co1 Co 0.5000 0.5000 0.5000 1
# D(E_F) ... 4.28 states/eV/f.u.

Model two:
# PBE Nb2AlCo, relaxed
data_Nb2AlCo
_symmetry_space_group_name_H-M 'P 1'
_symmetry_Int_Tables_number 1
_cell_length_a 2.8287
_cell_length_b 2.8287
_cell_length_c 9.8574
_cell_angle_alpha 81.75
_cell_angle_beta 81.75
_cell_angle_gamma 60.00
loop_
_symmetry_equiv_pos_as_xyz
'x,y,z'
loop_
_atom_site_label
_atom_site_type_symbol
_atom_site_fract_x
_atom_site_fract_y
_atom_site_fract_z
_atom_site_occupancy
Co1 Co 0.5000 0.5000 0.5000 1
Nb1 Nb 0.9063 0.9063 0.2812 1
Nb2 Nb 0.0937 0.0937 0.7188 1
Al1 Al 0.0000 0.0000 0.0000 1
# D(E_F) ... 4.24 states/eV/f.u.

Question: which arrangement is favored energetically? Ranking from most to least stable: model one, model two.